# 1
VASP calculation (PBE) on a relaxed ErTlZnO3 crystal.

## Properties
As for the space group: Cmcm (63). The magnetic moment is 0.00 μB per atom. For the total energy, the calculation gives -5.813 eV per atom.

a = 6.2861 Å, b = 6.2861 Å, c = 8.9314 Å
α = 90.00°, β = 90.00°, γ = 147.70°
With the nearest neighbours (Å) after each atom.
Sites, in units of the cell vectors:
Er  0.0000  0.0000  0.0000  6 O 2.25-2.26
Er  0.0000  0.0000  0.5000  6 O 2.25-2.26
Tl  0.3003  0.6997  0.7500  4 O 2.74-2.80
Tl  0.6997  0.3003  0.2500  4 O 2.74-2.80
Zn  0.4105  0.5895  0.2500  2 O 1.89
Zn  0.5895  0.4105  0.7500  2 O 1.89
O  0.0253  0.9747  0.2500  2 Zn 2.23, 2 Er 2.25
O  0.3852  0.6148  0.0414  1 Zn 1.89
O  0.3852  0.6148  0.4586  1 Zn 1.89
O  0.6148  0.3852  0.5414  1 Zn 1.89
O  0.6148  0.3852  0.9586  1 Zn 1.89
O  0.9747  0.0253  0.7500  2 Zn 2.23, 2 Er 2.25

---

# 2
VASP calculation (PBE) on a relaxed ErTm2O4 crystal.

## Properties
As for the space group: Fd-3m (227). The magnetic moment is 0.02 μB per atom. For the total energy, the calculation gives -8.054 eV per atom.

a = 6.6471 Å, b = 6.6471 Å, c = 6.6471 Å
α = 60.00°, β = 60.00°, γ = 60.00°
With the nearest neighbours (Å) after each atom.
Sites, in units of the cell vectors:
Er  0.1250  0.1250  0.1250  4 O 2.18
Er  0.8750  0.8750  0.8750  4 O 2.18
Tm  0.0000  0.5000  0.5000  6 O 2.27
Tm  0.5000  0.0000  0.5000  6 O 2.27
Tm  0.5000  0.5000  0.0000  6 O 2.27
Tm  0.5000  0.5000  0.5000  6 O 2.27
O  0.2591  0.2591  0.2591  1 Er 2.18, 3 Tm 2.27
O  0.2591  0.2591  0.7227  1 Er 2.18, 3 Tm 2.27
O  0.2591  0.7227  0.2591  1 Er 2.18, 3 Tm 2.27
O  0.2773  0.7409  0.7409  1 Er 2.18, 3 Tm 2.27
O  0.7227  0.2591  0.2591  1 Er 2.18, 3 Tm 2.27
O  0.7409  0.2773  0.7409  1 Er 2.18, 3 Tm 2.27
O  0.7409  0.7409  0.2773  1 Er 2.18, 3 Tm 2.27
O  0.7409  0.7409  0.7409  1 Er 2.18, 3 Tm 2.27

---

# 3
VASP calculation (PBE) on a relaxed ErTmO4 crystal.

## Properties
As for the space group: Cm (8). The magnetic moment is 0.00 μB per atom. For the total energy, the calculation gives -7.834 eV per atom.

a = 3.8281 Å, b = 3.8281 Å, c = 6.0676 Å
α = 95.42°, β = 95.42°, γ = 56.71°
With the nearest neighbours (Å) after each atom.
Sites, in units of the cell vectors:
Er  0.0000  0.0000  0.0000  7 O 2.21-2.37
Tm  0.3635  0.3635  0.4566  7 O 2.21-2.35
O  0.0359  0.0359  0.3768  3 Tm 2.21-2.24, 1 Er 2.27
O  0.3279  0.3279  0.0841  3 Er 2.21-2.24, 1 Tm 2.25
O  0.5874  0.5874  0.7796  1 O 1.49
O  0.7758  0.7758  0.6727  1 O 1.49

---

# 4
VASP calculation (PBE) on a relaxed Y2Er2O5 crystal.

## Properties
As for the space group: P4/mmm (123). The calculation puts the offset from the most stable computed form at 0 meV/atom. The magnetic moment is 0.18 μB per atom. For the total energy, the calculation gives -8.108 eV per atom.

a = 3.9092 Å, b = 3.9092 Å, c = 9.1666 Å
α = 90.00°, β = 90.00°, γ = 90.00°
With the nearest neighbours (Å) after each atom.
Sites, in units of the cell vectors:
Y  0.0000  0.0000  0.0000  8 O 2.38
Y  0.0000  0.0000  0.5000  4 O 2.76
Er  0.5000  0.5000  0.2436  5 O 2.14-2.35
Er  0.5000  0.5000  0.7564  5 O 2.14-2.35
O  0.0000  0.5000  0.1488  2 Er 2.14, 2 Y 2.38
O  0.0000  0.5000  0.8512  2 Er 2.14, 2 Y 2.38
O  0.5000  0.0000  0.1488  2 Er 2.14, 2 Y 2.38
O  0.5000  0.0000  0.8512  2 Er 2.14, 2 Y 2.38
O  0.5000  0.5000  0.5000  2 Er 2.35

---

Please write out number 3 again, unchanged.
VASP calculation (PBE) on a relaxed ErTmO4 crystal.

## Properties
As for the space group: Cm (8). The magnetic moment is 0.00 μB per atom. For the total energy, the calculation gives -7.834 eV per atom.

a = 3.8281 Å, b = 3.8281 Å, c = 6.0676 Å
α = 95.42°, β = 95.42°, γ = 56.71°
With the nearest neighbours (Å) after each atom.
Sites, in units of the cell vectors:
Er  0.0000  0.0000  0.0000  7 O 2.21-2.37
Tm  0.3635  0.3635  0.4566  7 O 2.21-2.35
O  0.0359  0.0359  0.3768  3 Tm 2.21-2.24, 1 Er 2.27
O  0.3279  0.3279  0.0841  3 Er 2.21-2.24, 1 Tm 2.25
O  0.5874  0.5874  0.7796  1 O 1.49
O  0.7758  0.7758  0.6727  1 O 1.49

---

Please write out number 2 again, unchanged.
VASP calculation (PBE) on a relaxed ErTm2O4 crystal.

## Properties
As for the space group: Fd-3m (227). The magnetic moment is 0.02 μB per atom. For the total energy, the calculation gives -8.054 eV per atom.

a = 6.6471 Å, b = 6.6471 Å, c = 6.6471 Å
α = 60.00°, β = 60.00°, γ = 60.00°
With the nearest neighbours (Å) after each atom.
Sites, in units of the cell vectors:
Er  0.1250  0.1250  0.1250  4 O 2.18
Er  0.8750  0.8750  0.8750  4 O 2.18
Tm  0.0000  0.5000  0.5000  6 O 2.27
Tm  0.5000  0.0000  0.5000  6 O 2.27
Tm  0.5000  0.5000  0.0000  6 O 2.27
Tm  0.5000  0.5000  0.5000  6 O 2.27
O  0.2591  0.2591  0.2591  1 Er 2.18, 3 Tm 2.27
O  0.2591  0.2591  0.7227  1 Er 2.18, 3 Tm 2.27
O  0.2591  0.7227  0.2591  1 Er 2.18, 3 Tm 2.27
O  0.2773  0.7409  0.7409  1 Er 2.18, 3 Tm 2.27
O  0.7227  0.2591  0.2591  1 Er 2.18, 3 Tm 2.27
O  0.7409  0.2773  0.7409  1 Er 2.18, 3 Tm 2.27
O  0.7409  0.7409  0.2773  1 Er 2.18, 3 Tm 2.27
O  0.7409  0.7409  0.7409  1 Er 2.18, 3 Tm 2.27

---

Which formula does entry 1 have?
ErTlZnO3

---

Which value of magnetic moment does entry 1 give?
0.00 μB per atom